Material: SmWF6
Method: DFT, PBE with a Hubbard U
State: relaxed

a b c (Å): 6.0131 6.0121 6.1828
angles (deg): 60.92 60.91 60.03
With the nearest neighbours (Å) after each atom.
Fractional coordinates of all 8 atoms:
1 Sm 0.5000 0.5000 0.5000  6 F 2.25
2 W 0.0000 0.0000 0.0000  6 F 2.11-2.12
3 F 0.1857 0.2987 0.7575  1 W 2.12, 1 Sm 2.25
4 F 0.7567 0.1876 0.7592  1 W 2.11, 1 Sm 2.25
5 F 0.7034 0.2392 0.2445  1 W 2.11, 1 Sm 2.25
6 F 0.2433 0.8124 0.2408  1 W 2.11, 1 Sm 2.25
7 F 0.8143 0.7013 0.2425  1 W 2.12, 1 Sm 2.25
8 F 0.2966 0.7608 0.7555  1 W 2.11, 1 Sm 2.25

Energy: -6.234 eV per atom